1.
# CsHBr2 | Alexandria | meta-GGA SCAN | PBEsol geometry
# volume: 26.65 A^3/atom
# magnetic moment: 0.00 μB per formula unit
# final energy: -243.6 eV per cell
data_CsHBr2
_cell_length_a 4.020
_cell_length_b 4.020
_cell_length_c 22.845
_cell_angle_alpha 90.00
_cell_angle_beta 90.00
_cell_angle_gamma 120.00
_symmetry_space_group_name_H-M 'P 1'
_symmetry_Int_Tables_number 1
_symmetry_space_group_name_Hall 'P 1'
loop_
_atom_site_label
_atom_site_fract_x
_atom_site_fract_y
_atom_site_fract_z
Cs1 0.000 0.000 0.000
Cs2 0.333 0.667 0.667
Cs3 0.667 0.333 0.333
H1 0.000 0.000 0.500
H2 0.333 0.667 0.167
H3 0.667 0.333 0.833
Br1 0.000 0.000 0.222
Br2 0.000 0.000 0.778
Br3 0.333 0.667 0.444
Br4 0.333 0.667 0.889
Br5 0.667 0.333 0.111
Br6 0.667 0.333 0.556


2.
# Sc2TaAg | Alexandria | meta-GGA SCAN | PBEsol geometry
# volume: 19.12 A^3/atom
# magnetic moment: 0.02 μB per formula unit
# energy of formation: 4.7 kcal/mol of atoms
data_Sc2TaAg
_cell_length_a 4.094
_cell_length_b 4.094
_cell_length_c 9.124
_cell_angle_alpha 90.00
_cell_angle_beta 90.00
_cell_angle_gamma 90.00
_symmetry_space_group_name_H-M 'P 1'
_symmetry_Int_Tables_number 1
_symmetry_space_group_name_Hall 'P 1'
loop_
_atom_site_label
_atom_site_fract_x
_atom_site_fract_y
_atom_site_fract_z
Sc1 0.000 0.000 0.000
Sc2 0.000 0.500 0.250
Sc3 0.500 0.000 0.750
Sc4 0.500 0.500 0.500
Ta1 0.000 0.000 0.500
Ta2 0.500 0.500 0.000
Ag1 0.000 0.500 0.750
Ag2 0.500 0.000 0.250


3.
# KTa2Ir | Alexandria | meta-GGA SCAN | PBEsol geometry
# volume: 20.47 A^3/atom
# magnetic moment: 0.00 μB per formula unit
# energy of formation: 13.8 kcal/mol of atoms
data_KTa2Ir
_cell_length_a 2.810
_cell_length_b 5.337
_cell_length_c 10.922
_cell_angle_alpha 90.00
_cell_angle_beta 90.00
_cell_angle_gamma 90.00
_symmetry_space_group_name_H-M 'P 1'
_symmetry_Int_Tables_number 1
_symmetry_space_group_name_Hall 'P 1'
loop_
_atom_site_label
_atom_site_fract_x
_atom_site_fract_y
_atom_site_fract_z
K1 0.000 0.000 0.000
K2 0.500 0.500 0.500
Ta1 0.000 0.500 0.203
Ta2 0.000 0.500 0.797
Ta3 0.500 0.000 0.297
Ta4 0.500 0.000 0.703
Ir1 0.000 0.000 0.500
Ir2 0.500 0.500 0.000


4.
# TaZnCu | Alexandria | meta-GGA SCAN | PBEsol geometry
# volume: 14.11 A^3/atom
# magnetic moment: 0.00 μB per formula unit
# energy of formation: -0.9 kcal/mol of atoms
data_TaZnCu
_cell_length_a 2.802
_cell_length_b 2.802
_cell_length_c 10.781
_cell_angle_alpha 90.00
_cell_angle_beta 90.00
_cell_angle_gamma 90.00
_symmetry_space_group_name_H-M 'P 1'
_symmetry_Int_Tables_number 1
_symmetry_space_group_name_Hall 'P 1'
loop_
_atom_site_label
_atom_site_fract_x
_atom_site_fract_y
_atom_site_fract_z
Ta1 0.000 0.000 0.000
Ta2 0.500 0.500 0.500
Zn1 0.000 0.000 0.682
Zn2 0.500 0.500 0.182
Cu1 0.000 0.000 0.327
Cu2 0.500 0.500 0.827


5.
# K2TlSeCl | Alexandria | meta-GGA SCAN | PBEsol geometry
# volume: 35.94 A^3/atom
# magnetic moment: 0.00 μB per formula unit
# raw formation energy: -1.011 eV per atom
data_K2TlSeCl
_cell_length_a 5.588
_cell_length_b 5.588
_cell_length_c 5.753
_cell_angle_alpha 90.00
_cell_angle_beta 90.00
_cell_angle_gamma 90.00
_symmetry_space_group_name_H-M 'P 1'
_symmetry_Int_Tables_number 1
_symmetry_space_group_name_Hall 'P 1'
loop_
_atom_site_label
_atom_site_fract_x
_atom_site_fract_y
_atom_site_fract_z
K1 0.000 0.500 0.000
K2 0.500 0.000 0.000
Tl1 0.000 0.000 0.500
Se1 0.500 0.500 0.500
Cl1 0.000 0.000 0.000


6.
# NbSiSbCl2 | Alexandria | meta-GGA SCAN | PBEsol geometry
# volume: 24.71 A^3/atom
# magnetic moment: 1.20 μB per formula unit
# raw formation energy: 0.119 eV per atom
data_NbSiSbCl2
_cell_length_a 4.640
_cell_length_b 4.640
_cell_length_c 5.739
_cell_angle_alpha 90.00
_cell_angle_beta 90.00
_cell_angle_gamma 90.00
_symmetry_space_group_name_H-M 'P 1'
_symmetry_Int_Tables_number 1
_symmetry_space_group_name_Hall 'P 1'
loop_
_atom_site_label
_atom_site_fract_x
_atom_site_fract_y
_atom_site_fract_z
Nb1 0.000 0.000 0.000
Si1 0.500 0.500 0.500
Sb1 0.000 0.000 0.500
Cl1 0.000 0.500 0.000
Cl2 0.500 0.000 0.000


7.
# LiCd3Re | Alexandria | meta-GGA SCAN | PBEsol geometry
# volume: 17.65 A^3/atom
# magnetic moment: 1.75 μB per formula unit
# energy of formation: 25.2 kcal/mol of atoms
data_LiCd3Re
_cell_length_a 4.452
_cell_length_b 4.452
_cell_length_c 4.452
_cell_angle_alpha 90.00
_cell_angle_beta 90.00
_cell_angle_gamma 90.00
_symmetry_space_group_name_H-M 'P 1'
_symmetry_Int_Tables_number 1
_symmetry_space_group_name_Hall 'P 1'
loop_
_atom_site_label
_atom_site_fract_x
_atom_site_fract_y
_atom_site_fract_z
Li1 0.000 0.000 0.000
Cd1 0.000 0.000 0.500
Cd2 0.000 0.500 0.000
Cd3 0.500 0.000 0.000
Re1 0.500 0.500 0.500


8.
# InH2W | Alexandria | meta-GGA SCAN | PBEsol geometry
# volume: 10.82 A^3/atom
# magnetic moment: 1.76 μB per formula unit
# final energy: -417.3 eV per cell
data_InH2W
_cell_length_a 5.574
_cell_length_b 5.574
_cell_length_c 5.574
_cell_angle_alpha 90.00
_cell_angle_beta 90.00
_cell_angle_gamma 90.00
_symmetry_space_group_name_H-M 'P 1'
_symmetry_Int_Tables_number 1
_symmetry_space_group_name_Hall 'P 1'
loop_
_atom_site_label
_atom_site_fract_x
_atom_site_fract_y
_atom_site_fract_z
In1 0.000 0.000 0.000
In2 0.000 0.500 0.500
In3 0.500 0.000 0.500
In4 0.500 0.500 0.000
H1 0.250 0.250 0.250
H2 0.250 0.250 0.750
H3 0.250 0.750 0.250
H4 0.250 0.750 0.750
H5 0.750 0.250 0.250
H6 0.750 0.250 0.750
H7 0.750 0.750 0.250
H8 0.750 0.750 0.750
W1 0.000 0.000 0.500
W2 0.000 0.500 0.000
W3 0.500 0.000 0.000
W4 0.500 0.500 0.500


9.
# ZrAg2Se | Alexandria | meta-GGA SCAN | PBEsol geometry
# volume: 19.50 A^3/atom
# magnetic moment: 0.00 μB per formula unit
# raw formation energy: -0.138 eV per atom
data_ZrAg2Se
_cell_length_a 5.279
_cell_length_b 7.995
_cell_length_c 3.696
_cell_angle_alpha 90.00
_cell_angle_beta 90.00
_cell_angle_gamma 90.00
_symmetry_space_group_name_H-M 'P 1'
_symmetry_Int_Tables_number 1
_symmetry_space_group_name_Hall 'P 1'
loop_
_atom_site_label
_atom_site_fract_x
_atom_site_fract_y
_atom_site_fract_z
Zr1 0.000 0.000 0.000
Zr2 0.500 0.500 0.000
Ag1 0.250 0.250 0.500
Ag2 0.250 0.750 0.500
Ag3 0.750 0.250 0.500
Ag4 0.750 0.750 0.500
Se1 0.000 0.500 0.000
Se2 0.500 0.000 0.000


10.
# KHg2Au | Alexandria | meta-GGA SCAN | PBEsol geometry
# volume: 24.50 A^3/atom
# magnetic moment: 0.00 μB per formula unit
# energy of formation: -4.2 kcal/mol of atoms
data_KHg2Au
_cell_length_a 5.106
_cell_length_b 5.106
_cell_length_c 7.519
_cell_angle_alpha 90.00
_cell_angle_beta 90.00
_cell_angle_gamma 90.00
_symmetry_space_group_name_H-M 'P 1'
_symmetry_Int_Tables_number 1
_symmetry_space_group_name_Hall 'P 1'
loop_
_atom_site_label
_atom_site_fract_x
_atom_site_fract_y
_atom_site_fract_z
K1 0.000 0.000 0.000
K2 0.500 0.500 0.500
Hg1 0.000 0.000 0.500
Hg2 0.000 0.500 0.750
Hg3 0.500 0.000 0.250
Hg4 0.500 0.500 0.000
Au1 0.000 0.500 0.250
Au2 0.500 0.000 0.750


11.
# Ta3BH | Alexandria | meta-GGA SCAN | PBEsol geometry
# volume: 15.54 A^3/atom
# magnetic moment: 0.00 μB per formula unit
# final energy: -205.6 eV per cell
data_Ta3BH
_cell_length_a 4.267
_cell_length_b 4.267
_cell_length_c 4.267
_cell_angle_alpha 90.00
_cell_angle_beta 90.00
_cell_angle_gamma 90.00
_symmetry_space_group_name_H-M 'P 1'
_symmetry_Int_Tables_number 1
_symmetry_space_group_name_Hall 'P 1'
loop_
_atom_site_label
_atom_site_fract_x
_atom_site_fract_y
_atom_site_fract_z
Ta1 0.000 0.000 0.500
Ta2 0.000 0.500 0.000
Ta3 0.500 0.000 0.000
B1 0.000 0.000 0.000
H1 0.500 0.500 0.500


12.
# Zr2PtAu | Alexandria | meta-GGA SCAN | PBEsol geometry
# volume: 18.28 A^3/atom
# magnetic moment: 0.00 μB per formula unit
# energy of formation: -20.8 kcal/mol of atoms
data_Zr2PtAu
_cell_length_a 6.321
_cell_length_b 7.905
_cell_length_c 2.927
_cell_angle_alpha 90.00
_cell_angle_beta 90.00
_cell_angle_gamma 90.00
_symmetry_space_group_name_H-M 'P 1'
_symmetry_Int_Tables_number 1
_symmetry_space_group_name_Hall 'P 1'
loop_
_atom_site_label
_atom_site_fract_x
_atom_site_fract_y
_atom_site_fract_z
Zr1 0.250 0.250 0.000
Zr2 0.250 0.750 0.000
Zr3 0.750 0.250 0.000
Zr4 0.750 0.750 0.000
Pt1 0.000 0.000 0.500
Pt2 0.500 0.500 0.500
Au1 0.000 0.500 0.500
Au2 0.500 0.000 0.500


13.
# SrNiBr2 | Alexandria | meta-GGA SCAN | PBEsol geometry
# volume: 22.66 A^3/atom
# magnetic moment: 1.46 μB per formula unit
# raw formation energy: -0.562 eV per atom
data_SrNiBr2
_cell_length_a 3.652
_cell_length_b 3.652
_cell_length_c 6.797
_cell_angle_alpha 90.00
_cell_angle_beta 90.00
_cell_angle_gamma 90.00
_symmetry_space_group_name_H-M 'P 1'
_symmetry_Int_Tables_number 1
_symmetry_space_group_name_Hall 'P 1'
loop_
_atom_site_label
_atom_site_fract_x
_atom_site_fract_y
_atom_site_fract_z
Sr1 0.000 0.000 0.000
Ni1 0.000 0.000 0.500
Br1 0.500 0.500 0.260
Br2 0.500 0.500 0.740